No. 1
First-principles (PBE) data for a relaxed PuCdAg2O6 crystal, as listed in Alexandria via LeMat-Bulk.

Computed properties:
space group: R-3

```
PuCdAg2O6
1.0
5.752 0.000 -0.002
-2.876 4.984 0.000
-2.875 -1.661 4.925
O Cd Ag Pu
6 1 2 1
Cartesian
1.027 2.035 3.645 O
1.671 0.220 1.081 O
2.278 3.499 1.081 O
-1.583 3.147 3.645 O
-2.191 -0.133 3.646 O
-0.940 1.332 1.083 O
2.920 1.683 2.363 Cd
0.044 0.023 3.524 Ag
0.043 3.344 1.209 Ag
0.044 3.345 4.825 Pu
```

---

No. 2
First-principles (PBE) data for a relaxed PuCd3Ag2O6 crystal, as listed in Alexandria via LeMat-Bulk.

Computed properties:
space group: C2/m

```
PuCd3Ag2O6
1.0
5.975 0.091 -0.041
-2.907 5.221 -0.041
-1.055 -1.827 5.513
O Cd Ag Pu
6 3 2 1
Cartesian
2.200 3.809 1.181 O
-0.923 1.536 1.473 O
0.221 3.517 3.958 O
1.792 -0.032 1.473 O
2.936 1.949 3.958 O
-0.187 -0.324 4.250 O
3.874 0.087 2.715 Cd
-1.861 3.399 2.715 Cd
1.006 1.743 2.715 Cd
3.000 1.809 -0.041 Ag
0.068 3.503 -0.041 Ag
0.000 0.000 0.000 Pu
```

---

No. 3
First-principles (PBE) data for a relaxed PuCd2AgO6 crystal, as listed in Alexandria via LeMat-Bulk.

Computed properties:
space group: P1

```
PuCd2AgO6
1.0
5.738 0.002 -0.004
2.871 4.965 -0.003
2.866 1.654 5.116
O Cd Ag Pu
6 2 1 1
Cartesian
6.504 1.902 3.995 O
7.842 3.207 1.245 O
4.131 3.349 3.997 O
4.781 5.184 1.244 O
6.571 4.679 3.997 O
4.596 1.542 1.247 O
2.866 1.656 4.819 Cd
5.739 3.311 2.049 Cd
8.606 4.965 2.889 Ag
2.869 1.656 0.144 Pu
```

---

| no. | E_form (uncorrected) (eV/atom) | spin magnetization (μB/cell) | E_tot (eV per atom) |
| --- | --- | --- | --- |
| 1 | -1.1913 | 0.4 | -6.261 |
| 2 | -1.1879 | 3.7 | -5.565 |
| 3 | -1.4216 | 1.0 | -6.298 |